Density functional theory data (PBE-GGA) for a relaxed structure of YSb2Mo.

Computed properties:
- Space group: No. 35
- E: -25.23 eV for the cell shown
- Formation energy from raw total energies: 0.3 eV/f.u.

Structure (extended XYZ):
```
4
Lattice="1.9438 -2.5311 0.0000 1.9438 2.5311 0.0000 0.0000 0.0000 10.5168" Properties=species:S:1:pos:R:3 pbc="T T T"
Y 0.0000 0.0000 0.0000
Sb 0.0000 0.0000 6.2999
Sb 1.9438 0.0000 2.5382
Mo 1.9438 0.0000 8.2461
```